[1]
The following is a meta-GGA SCAN calculation of a PBEsol-optimized structure of BaZrSe2, from Alexandria.

V   146.1 Å³/f.u.
Uncorrected energy   -114.4 eV/f.u.
Energy relative to the elements, uncorrected   -0.991 eV/atom
SG   No. 166

Cell: 9.129 9.129 9.129 Å, 27.80 27.80 27.80°
Fractional coordinates of all 4 atoms:
Ba (0.000, 0.000, 0.000)
Zr (0.500, 0.500, 0.500)
Se (0.405, 0.405, 0.405)
Se (0.595, 0.595, 0.595)


[2]
The following is a meta-GGA SCAN calculation of a PBEsol-optimized structure of CaPd, from Alexandria.

V   41.6 Å³/f.u.
Uncorrected energy   -43.8 eV/f.u.
ΔH_f (0 K)   -0.69 eV/atom
SG   No. 221

Cell: 3.465 3.465 3.465 Å, 90.00 90.00 90.00°
Fractional coordinates of all 2 atoms:
Ca (0.000, 0.000, 0.000)
Pd (0.500, 0.500, 0.500)


[3]
The following is a meta-GGA SCAN calculation of a PBEsol-optimized structure of AgBi2Se3Cl, from Alexandria.

V   173.3 Å³/f.u.
Uncorrected energy   -259.6 eV/f.u.
Energy relative to the elements, uncorrected   -0.403 eV/atom
SG   No. 11

Cell: 7.929 4.076 11.073 Å, 90.00 104.46 90.00°
Fractional coordinates of all 14 atoms:
Ag (0.048, 0.250, 0.413)
Ag (0.952, 0.750, 0.587)
Bi (0.193, 0.250, 0.934)
Bi (0.471, 0.750, 0.660)
Bi (0.529, 0.250, 0.340)
Bi (0.807, 0.750, 0.066)
Se (0.049, 0.250, 0.154)
Se (0.200, 0.250, 0.664)
Se (0.305, 0.750, 0.411)
Se (0.695, 0.250, 0.589)
Se (0.800, 0.750, 0.336)
Se (0.951, 0.750, 0.846)
Cl (0.408, 0.750, 0.099)
Cl (0.592, 0.250, 0.901)


[4]
The following is a meta-GGA SCAN calculation of a PBEsol-optimized structure of LiLaB2, from Alexandria.

V   60.8 Å³/f.u.
Uncorrected energy   -58.0 eV/f.u.
ΔH_f (0 K)   0.58 eV/atom
SG   No. 225

Cell: 4.414 4.414 4.414 Å, 60.00 60.00 60.00°
Fractional coordinates of all 4 atoms:
Li (0.000, 0.000, 0.000)
La (0.500, 0.500, 0.500)
B (0.250, 0.250, 0.250)
B (0.750, 0.750, 0.750)


[5]
The following is a meta-GGA SCAN calculation of a PBEsol-optimized structure of NaIrS2, from Alexandria.

V   81.3 Å³/f.u.
Uncorrected energy   -96.8 eV/f.u.
Energy relative to the elements, uncorrected   -0.552 eV/atom
SG   No. 122

Cell: 5.966 5.966 5.966 Å, 107.19 107.19 114.14°
Fractional coordinates of all 8 atoms:
Na (0.000, 0.000, 0.000)
Na (0.750, 0.250, 0.500)
Ir (0.250, 0.750, 0.500)
Ir (0.500, 0.500, 0.000)
S (0.221, 0.625, 0.096)
S (0.375, 0.471, 0.596)
S (0.529, 0.125, 0.904)
S (0.875, 0.779, 0.404)


[6]
The following is a meta-GGA SCAN calculation of a PBEsol-optimized structure of NaNiCSO7, from Alexandria.

V   144.6 Å³/f.u.
Uncorrected energy   -100.6 eV/f.u.
Energy relative to the elements, uncorrected   -1.532 eV/atom
SG   No. 4

Cell: 4.954 6.473 9.016 Å, 90.00 90.30 90.00°
Fractional coordinates of all 22 atoms:
Na (0.217, 0.000, 0.225)
Na (0.783, 0.500, 0.775)
Ni (0.229, 0.795, 0.649)
Ni (0.771, 0.295, 0.351)
C (0.324, 0.800, 0.902)
C (0.676, 0.300, 0.098)
S (0.283, 0.288, 0.573)
S (0.717, 0.788, 0.427)
O (0.082, 0.791, 0.840)
O (0.137, 0.282, 0.429)
O (0.211, 0.472, 0.662)
O (0.223, 0.109, 0.666)
O (0.374, 0.814, 0.035)
O (0.419, 0.800, 0.462)
O (0.497, 0.293, 0.206)
O (0.503, 0.793, 0.794)
O (0.581, 0.300, 0.538)
O (0.626, 0.314, 0.965)
O (0.777, 0.609, 0.334)
O (0.789, 0.972, 0.338)
O (0.863, 0.782, 0.571)
O (0.918, 0.291, 0.160)


[7]
The following is a meta-GGA SCAN calculation of a PBEsol-optimized structure of TaSb2Mo, from Alexandria.

V   76.3 Å³/f.u.
Uncorrected energy   -174.6 eV/f.u.
Energy relative to the elements, uncorrected   0.359 eV/atom
SG   No. 44

Cell: 5.526 5.526 5.526 Å, 143.24 130.11 63.55°
Fractional coordinates of all 4 atoms:
Ta (0.000, 0.000, 0.000)
Sb (0.471, 0.471, 0.000)
Sb (0.749, 0.249, 0.500)
Mo (0.232, 0.732, 0.500)


[8]
The following is a meta-GGA SCAN calculation of a PBEsol-optimized structure of AgP2Br, from Alexandria.

V   79.3 Å³/f.u.
Uncorrected energy   -70.9 eV/f.u.
Energy relative to the elements, uncorrected   0.186 eV/atom
SG   No. 44

Cell: 6.605 6.605 6.605 Å, 150.79 145.57 45.77°
Fractional coordinates of all 4 atoms:
Ag (0.000, 0.000, 0.000)
P (0.555, 0.555, 0.000)
P (0.675, 0.175, 0.500)
Br (0.320, 0.820, 0.500)


[9]
The following is a meta-GGA SCAN calculation of a PBEsol-optimized structure of BiPtIO2, from Alexandria.

V   110.8 Å³/f.u.
Uncorrected energy   -196.9 eV/f.u.
Energy relative to the elements, uncorrected   0.215 eV/atom
SG   No. 123

Cell: 4.047 4.047 6.762 Å, 90.00 90.00 90.00°
Fractional coordinates of all 5 atoms:
Bi (0.000, 0.000, 0.000)
Pt (0.500, 0.500, 0.500)
I (0.000, 0.000, 0.500)
O (0.000, 0.500, 0.000)
O (0.500, 0.000, 0.000)


[10]
The following is a meta-GGA SCAN calculation of a PBEsol-optimized structure of Li2Mg, from Alexandria.

V   61.4 Å³/f.u.
Uncorrected energy   -9.8 eV/f.u.
ΔH_f (0 K)   0.00 eV/atom
SG   No. 189

Cell: 8.427 8.427 2.995 Å, 90.00 90.00 120.00°
Fractional coordinates of all 9 atoms:
Li (0.000, 0.357, 0.000)
Li (0.000, 0.691, 0.500)
Li (0.309, 0.309, 0.500)
Li (0.357, 0.000, 0.000)
Li (0.643, 0.643, 0.000)
Li (0.691, 0.000, 0.500)
Mg (0.000, 0.000, 0.000)
Mg (0.333, 0.667, 0.500)
Mg (0.667, 0.333, 0.500)


[11]
The following is a meta-GGA SCAN calculation of a PBEsol-optimized structure of KZnCu, from Alexandria.

V   67.1 Å³/f.u.
Uncorrected energy   -36.5 eV/f.u.
ΔH_f (0 K)   0.19 eV/atom
SG   No. 107

Cell: 6.353 6.353 6.353 Å, 149.18 149.18 44.15°
Fractional coordinates of all 3 atoms:
K (0.000, 0.000, 0.000)
Zn (0.732, 0.732, 0.000)
Cu (0.270, 0.270, 0.000)


[12]
The following is a meta-GGA SCAN calculation of a PBEsol-optimized structure of Li2MnBPO7, from Alexandria.

V   130.8 Å³/f.u.
Uncorrected energy   -113.3 eV/f.u.
Energy relative to the elements, uncorrected   -2.399 eV/atom
SG   No. 11

Cell: 5.020 6.127 8.532 Å, 90.00 94.33 90.00°
Fractional coordinates of all 24 atoms:
Li (0.234, 0.016, 0.301)
Li (0.234, 0.484, 0.301)
Li (0.766, 0.516, 0.699)
Li (0.766, 0.984, 0.699)
Mn (0.211, 0.750, 0.832)
Mn (0.789, 0.250, 0.168)
B (0.265, 0.750, 0.560)
B (0.735, 0.250, 0.440)
P (0.273, 0.250, 0.930)
P (0.727, 0.750, 0.070)
O (0.022, 0.750, 0.634)
O (0.135, 0.250, 0.085)
O (0.187, 0.055, 0.824)
O (0.187, 0.445, 0.824)
O (0.296, 0.750, 0.408)
O (0.422, 0.750, 0.028)
O (0.469, 0.750, 0.685)
O (0.531, 0.250, 0.315)
O (0.578, 0.250, 0.972)
O (0.704, 0.250, 0.592)
O (0.813, 0.555, 0.176)
O (0.813, 0.945, 0.176)
O (0.865, 0.750, 0.915)
O (0.978, 0.250, 0.366)